Record 1
A plane-wave DFT calculation with PBE was carried out for La6SnOs2 after structural relaxation.

Properties
Total magnetization in μB/cell: 0.0
E_tot in eV/cell: -116.77
Mass density in g cm⁻³: 8.28

abc: 11.3620 4.9608 9.5292
angles: 90.00 95.93 90.00
Last column: nearest neighbours and their distance in Å.
Space group C2/m (No. 12)
One atom of each set of equivalent atoms:
La 0.0929 0.0000 0.3597  3 Os 2.94-2.98
La 0.1116 0.5000 0.6727  3 Os 3.08-3.25, 3 La 3.39-3.40
La 0.2003 0.5000 0.1059  1 Os 2.64
Sn 0.0000 0.0000 0.0000  8 La 3.45-3.65
Os 0.2392 0.5000 0.3834  2 La 2.64-2.94

Record 2
A plane-wave DFT calculation with PBE was carried out for LaSn3Os after structural relaxation.

Properties
Total magnetization in μB/cell: 0.0
E_tot in eV/cell: -17.69
Mass density in g cm⁻³: 5.93

abc: 5.7690 5.7690 5.7690
angles: 90.00 90.00 90.00
Last column: nearest neighbours and their distance in Å.
Space group Pm-3m (No. 221)
One atom of each set of equivalent atoms:
La 0.0000 0.0000 0.0000  6 Sn 2.88
Sn 0.0000 0.0000 0.5000  2 La 2.88
Os 0.5000 0.5000 0.5000  12 Sn 4.08

Record 3
A plane-wave DFT calculation with PBE was carried out for La3SnOs after structural relaxation.

Properties
Total magnetization in μB/cell: 0.0
Distance to the lowest polymorph of the same formula in meV/atom: 0.0
Mass density in g cm⁻³: 7.96

abc: 12.2722 4.6650 10.6966
angles: 90.00 98.74 90.00
Last column: nearest neighbours and their distance in Å.
Space group C2/m (No. 12)
One atom of each set of equivalent atoms:
La 0.1037 0.0000 0.3919  3 Os 2.85-2.86
La 0.1232 0.5000 0.6755  2 Os 3.03
La 0.1517 0.5000 0.1149  1 Os 2.91
Sn 0.0685 0.0000 0.8937  1 Sn 3.03, 2 La 3.37
Os 0.2363 0.5000 0.3841  6 La 2.85-3.03

Record 4
A plane-wave DFT calculation with PBE was carried out for La5SnOs2 after structural relaxation.

Properties
Total magnetization in μB/cell: 0.0
E_tot in eV/cell: -216.21
Mass density in g cm⁻³: 8.54

abc: 8.0590 8.0590 14.2890
angles: 90.00 90.00 90.00
Last column: nearest neighbours and their distance in Å.
Space group I4/mcm (No. 140)
One atom of each set of equivalent atoms:
La 0.0000 0.0000 0.0000  4 Os 3.12
La 0.1623 0.3377 0.1305  3 Os 2.94-3.06
Sn 0.0000 0.0000 0.2500  10 La 3.47-3.57
Os 0.1381 0.3619 0.5000  8 La 2.94-3.12, 1 Os 3.15

Record 5
A plane-wave DFT calculation with PBE was carried out for LaSn2Os after structural relaxation.

Properties
Total magnetization in μB/cell: 0.0
E_tot in eV/cell: -96.74
Mass density in g cm⁻³: 10.49

abc: 7.1045 7.1045 7.1045
angles: 90.00 90.00 90.00
Last column: nearest neighbours and their distance in Å.
Space group Fm-3m (No. 225)
One atom of each set of equivalent atoms:
La 0.0000 0.0000 0.0000  8 Sn 3.08
Sn 0.2500 0.2500 0.2500  4 La 3.08, 4 Os 3.08
Os 0.0000 0.0000 0.5000  8 Sn 3.08

Record 6
A plane-wave DFT calculation with PBE was carried out for La3SnOs after structural relaxation.

Properties
Total magnetization in μB/cell: 0.0
Distance to the lowest polymorph of the same formula in meV/atom: 6.0
Mass density in g cm⁻³: 8.09

abc: 6.0424 6.5229 8.7341
angles: 105.05 97.42 112.15
Last column: nearest neighbours and their distance in Å.
Space group P-1 (No. 2)
One atom of each set of equivalent atoms:
La 0.1137 0.2165 0.2376  1 Os 2.69
La 0.2638 0.3426 0.6745  1 Os 2.73
La 0.2970 0.7917 0.1074  3 Os 2.97-3.21
Sn 0.3155 0.7869 0.5206  1 Sn 2.98
Os 0.2769 0.3147 0.9814  3 La 2.69-2.97, 1 Os 2.77

Record 7
A plane-wave DFT calculation with PBE was carried out for LaSn3Os after structural relaxation.

Properties
Total magnetization in μB/cell: 0.0
E_tot in eV/cell: -27.56
Mass density in g cm⁻³: 8.14

abc: 5.1905 5.1905 5.1905
angles: 90.00 90.00 90.00
Last column: nearest neighbours and their distance in Å.
Space group Pm-3m (No. 221)
One atom of each set of equivalent atoms:
La 0.0000 0.0000 0.0000  12 Sn 3.67
Sn 0.0000 0.5000 0.5000  2 Os 2.60
Os 0.5000 0.5000 0.5000  6 Sn 2.60

Record 8
A plane-wave DFT calculation with PBE was carried out for La8Sn2Os after structural relaxation.

Properties
Total magnetization in μB/cell: 0.0
E_tot in eV/cell: -125.33
Mass density in g cm⁻³: 7.33

abc: 19.1338 5.5539 7.0239
angles: 90.00 110.98 90.00
Last column: nearest neighbours and their distance in Å.
Space group C2/m (No. 12)
One atom of each set of equivalent atoms:
La 0.0039 0.0000 0.2266  3 La 3.13-3.32, 2 Os 3.19, 1 Sn 3.46
La 0.0899 0.5000 0.7611  1 Os 2.80
La 0.1447 0.5000 0.3407  1 Os 2.94
La 0.2158 0.0000 0.1500  3 Sn 3.38-3.51, 4 La 3.54-3.62
Sn 0.1711 0.0000 0.6390  9 La 3.38-3.51
Os 0.0000 0.5000 0.0000  4 La 2.80-2.94

Record 9
A plane-wave DFT calculation with PBE was carried out for La3SnOs after structural relaxation.

Properties
Total magnetization in μB/cell: 0.0
Distance to the lowest polymorph of the same formula in meV/atom: 54.5
Mass density in g cm⁻³: 7.15

abc: 5.5232 5.5232 5.5232
angles: 90.00 90.00 90.00
Last column: nearest neighbours and their distance in Å.
Space group Pm-3m (No. 221)
One atom of each set of equivalent atoms:
La 0.0000 0.0000 0.5000  2 Os 2.76
Sn 0.5000 0.5000 0.5000  12 La 3.91
Os 0.0000 0.0000 0.0000  6 La 2.76

Record 10
A plane-wave DFT calculation with PBE was carried out for LaSnOs2 after structural relaxation.

Properties
Total magnetization in μB/cell: 0.0
E_tot in eV/cell: -113.19
Mass density in g cm⁻³: 12.05

abc: 7.5651 7.5651 6.1457
angles: 90.00 90.00 90.00
Last column: nearest neighbours and their distance in Å.
Space group I-42d (No. 122)
One atom of each set of equivalent atoms:
La 0.0000 0.0000 0.0000  4 Os 2.98, 2 Sn 3.07
Sn 0.0000 0.0000 0.5000  4 Os 2.60
Os 0.2129 0.2500 0.6250  2 Sn 2.60

Record 11
A plane-wave DFT calculation with PBE was carried out for LaSn2Os after structural relaxation.

Properties
Total magnetization in μB/cell: 0.0
E_tot in eV/cell: -93.09
Mass density in g cm⁻³: 8.39

abc: 4.9148 4.9148 18.5774
angles: 90.00 90.00 90.00
Last column: nearest neighbours and their distance in Å.
Space group I-42d (No. 122)
One atom of each set of equivalent atoms:
La 0.0000 0.0000 0.0000  4 Sn 3.17, 4 Os 3.48
Sn 0.1386 0.2500 0.6250  2 Os 2.71, 2 Sn 2.81
Os 0.0000 0.0000 0.5000  4 Sn 2.71

Record 12
A plane-wave DFT calculation with PBE was carried out for La2Sn2Os after structural relaxation.

Properties
Total magnetization in μB/cell: 0.0
E_tot in eV/cell: -61.51
Mass density in g cm⁻³: 8.89

abc: 7.3021 7.3021 4.9401
angles: 90.00 90.00 90.00
Last column: nearest neighbours and their distance in Å.
Space group P4/mbm (No. 127)
One atom of each set of equivalent atoms:
La 0.1725 0.3275 0.0000  6 Sn 3.13-3.38
Sn 0.1412 0.6412 0.5000  2 Os 2.82, 1 Sn 2.92, 2 La 3.13
Os 0.0000 0.0000 0.5000  4 Sn 2.82

Record 13
A plane-wave DFT calculation with PBE was carried out for La2SnOs after structural relaxation.

Properties
Total magnetization in μB/cell: 0.0
E_tot in eV/cell: -101.79
Mass density in g cm⁻³: 8.69

abc: 8.4048 8.4048 6.3468
angles: 90.00 90.00 90.00
Last column: nearest neighbours and their distance in Å.
Space group I-42d (No. 122)
One atom of each set of equivalent atoms:
La 0.1860 0.2500 0.1250  2 Os 2.74
Sn 0.0000 0.0000 0.5000  2 Os 3.17, 8 La 3.47-3.54
Os 0.0000 0.0000 0.0000  4 La 2.74

Record 14
A plane-wave DFT calculation with PBE was carried out for La2SnOs4 after structural relaxation.

Properties
Total magnetization in μB/cell: 0.0
E_tot in eV/cell: -97.11
Mass density in g cm⁻³: 11.01

abc: 4.8837 4.8837 14.6365
angles: 90.00 90.00 90.00
Last column: nearest neighbours and their distance in Å.
Space group I4/mmm (No. 139)
One atom of each set of equivalent atoms:
La 0.0000 0.0000 0.1363  1 Os 2.81
Sn 0.0000 0.0000 0.5000  6 Os 2.44-2.51
Os 0.0000 0.0000 0.3284  1 Sn 2.51, 1 La 2.81
Os 0.0000 0.5000 0.0000  2 Sn 2.44

Record 15
A plane-wave DFT calculation with PBE was carried out for LaSn2Os2 after structural relaxation.

Properties
Total magnetization in μB/cell: 0.0
E_tot in eV/cell: -72.42
Mass density in g cm⁻³: 11.05

abc: 4.6464 4.6464 10.5318
angles: 90.00 90.00 90.00
Last column: nearest neighbours and their distance in Å.
Space group I4/mmm (No. 139)
One atom of each set of equivalent atoms:
La 0.0000 0.0000 0.0000  8 Os 3.49, 8 Sn 3.51
Sn 0.0000 0.5000 0.2500  4 Os 2.74
Os 0.0000 0.0000 0.3885  1 Os 2.35

Record 16
A plane-wave DFT calculation with PBE was carried out for La12Sn6Os after structural relaxation.

Properties
Total magnetization in μB/cell: 0.0
E_tot in eV/cell: -311.56
Mass density in g cm⁻³: 6.30

abc: 12.6419 12.6419 14.6782
angles: 90.00 90.00 120.00
Last column: nearest neighbours and their distance in Å.
Space group R-3 (No. 148, hexagonal axes)
One atom of each set of equivalent atoms:
La 0.0314 0.8355 0.3895  4 Sn 3.27-3.36
La 0.0363 0.1951 0.8866  1 Os 2.82
Sn 0.0074 0.6135 0.2530  8 La 3.27-3.51
Os 0.0000 0.0000 0.0000  6 La 2.82

Record 17
A plane-wave DFT calculation with PBE was carried out for La6SnOs after structural relaxation.

Properties
Total magnetization in μB/cell: 0.0
E_tot in eV/cell: -92.77
Mass density in g cm⁻³: 6.87

abc: 8.4890 10.2085 6.6336
angles: 90.00 105.98 90.00
Last column: nearest neighbours and their distance in Å.
Space group C2/m (No. 12)
One atom of each set of equivalent atoms:
La 0.1036 0.1948 0.2971  1 Os 2.77
La 0.2021 0.5000 0.0943  1 Os 2.77
Sn 0.0000 0.5000 0.5000  12 La 3.57-3.84
Os 0.0000 0.0000 0.0000  6 La 2.77

Record 18
A plane-wave DFT calculation with PBE was carried out for La8SnOs2 after structural relaxation.

Properties
Total magnetization in μB/cell: 0.0
E_tot in eV/cell: -136.26
Mass density in g cm⁻³: 7.70

abc: 8.9935 14.0012 5.6589
angles: 90.00 102.82 90.00
Last column: nearest neighbours and their distance in Å.
Space group C2/m (No. 12)
One atom of each set of equivalent atoms:
La 0.0000 0.2479 0.0000  2 Os 2.91
La 0.1034 0.0000 0.7940  2 Os 3.27, 4 La 3.29-3.43, 1 Sn 3.50
La 0.1982 0.3738 0.5508  2 Os 2.97-3.01
Sn 0.0000 0.5000 0.0000  12 La 3.50-3.84
Os 0.0000 0.1987 0.5000  6 La 2.91-3.01

Record 19
A plane-wave DFT calculation with PBE was carried out for La12SnOs5 after structural relaxation.

Properties
Total magnetization in μB/cell: 0.0
E_tot in eV/cell: -246.52
Mass density in g cm⁻³: 8.69

abc: 9.6727 9.8458 10.9800
angles: 90.00 90.00 90.00
Last column: nearest neighbours and their distance in Å.
Space group Immm (No. 71)
One atom of each set of equivalent atoms:
La 0.0000 0.1887 0.2176  2 Os 2.76-3.03
La 0.1854 0.5000 0.1653  3 Os 2.82-3.06
La 0.2054 0.3253 0.5000  4 Os 3.02-3.33
Sn 0.0000 0.0000 0.5000  12 La 3.54-3.77
Os 0.0000 0.0000 0.0000  8 La 3.03-3.33, 2 Os 3.23
Os 0.0000 0.3281 0.0000  6 La 2.76-3.06
Os 0.0000 0.5000 0.3641  6 La 2.82-3.02, 1 Os 2.99

Record 20
A plane-wave DFT calculation with PBE was carried out for La4SnOs after structural relaxation.

Properties
Total magnetization in μB/cell: 0.0
E_tot in eV/cell: -149.29
Mass density in g cm⁻³: 7.64

abc: 8.9924 14.1457 6.3336
angles: 90.00 111.07 90.00
Last column: nearest neighbours and their distance in Å.
Space group C2/c (No. 15)
One atom of each set of equivalent atoms:
La 0.1103 0.1732 0.0592  2 Os 3.05-3.07, 2 Sn 3.34-3.41
La 0.2192 0.4286 0.3642  2 Os 2.99-3.04, 1 Sn 3.32
Sn 0.0000 0.3760 0.7500  6 La 3.32-3.41
Os 0.0000 0.9997 0.2500  8 La 2.99-3.07, 2 Os 3.17

Record 21
A plane-wave DFT calculation with PBE was carried out for La6Sn2Os after structural relaxation.

Properties
Total magnetization in μB/cell: 0.0
E_tot in eV/cell: -106.17
Mass density in g cm⁻³: 7.44

abc: 4.4982 14.6735 8.5304
angles: 90.00 90.00 90.00
Last column: nearest neighbours and their distance in Å.
Space group Amm2 (No. 38)
One atom of each set of equivalent atoms:
La 0.0000 0.0000 0.0000  2 Os 2.95
La 0.0000 0.1142 0.6468  2 Os 3.02, 2 Sn 3.35-3.36, 1 La 3.35
La 0.5000 0.0000 0.3493  4 Sn 3.41, 1 Os 3.65, 6 La 3.73-3.78
La 0.5000 0.2043 0.9673  4 Sn 3.41-3.43, 1 Os 3.41, 6 La 3.76-3.81
Sn 0.0000 0.1677 0.2636  9 La 3.33-3.43
Os 0.5000 0.0000 0.7769  6 La 2.95-3.02

Record 22
A plane-wave DFT calculation with PBE was carried out for SrLa2SnOs after structural relaxation.

Properties
Total magnetization in μB/cell: 0.0
E_tot in eV/cell: -27.68
Mass density in g cm⁻³: 6.46

abc: 5.4673 5.4673 5.7976
angles: 90.00 90.00 90.00
Last column: nearest neighbours and their distance in Å.
Space group P4/mmm (No. 123)
One atom of each set of equivalent atoms:
Sr 0.0000 0.0000 0.0000  2 Os 2.90
La 0.0000 0.5000 0.5000  2 Os 2.73
Sn 0.5000 0.5000 0.0000  4 Sr 3.87, 8 La 3.98
Os 0.0000 0.0000 0.5000  4 La 2.73, 2 Sr 2.90

Record 23
A plane-wave DFT calculation with PBE was carried out for La2YSnOs after structural relaxation.

Properties
Total magnetization in μB/cell: 0.0
E_tot in eV/cell: -32.99
Mass density in g cm⁻³: 6.87

abc: 5.4648 5.4648 5.4710
angles: 90.00 90.00 90.00
Last column: nearest neighbours and their distance in Å.
Space group P4/mmm (No. 123)
One atom of each set of equivalent atoms:
La 0.0000 0.5000 0.0000  2 Os 2.73
Y 0.0000 0.0000 0.5000  2 Os 2.74
Sn 0.5000 0.5000 0.5000  4 Y 3.86, 8 La 3.87
Os 0.0000 0.0000 0.0000  4 La 2.73, 2 Y 2.74